[1]
## Ac2La5Tb4 (PBE)

Data for a relaxed structure of Ac2La5Tb4.

Energy relative to the elements (eV per atom): 0.04

Geometry as CIF:
```
data_Ac2La5Tb4
_chemical_formula_sum 'Ac4 La10 Tb8'
_cell_length_a 3.7493
_cell_length_b 5.2239
_cell_length_c 40.9908
_cell_angle_alpha 90.00
_cell_angle_beta 90.00
_cell_angle_gamma 90.00
_space_group_name_H-M_alt 'I m m m'
_space_group_IT_number 71
_space_group_name_Hall '-I 2 2'
loop_
_atom_site_label
_atom_site_type_symbol
_atom_site_fract_x
_atom_site_fract_y
_atom_site_fract_z
Ac1 Ac 0.0000 0.0000 0.0911
La1 La 0.0000 0.0000 0.0000
La2 La 0.0000 0.0000 0.2726
La3 La 0.0000 0.0000 0.3607
Tb1 Tb 0.0000 0.0000 0.1829
Tb2 Tb 0.0000 0.0000 0.4558
```



[2]
## RbTl2RhAu (PBE)

Data for a relaxed structure of RbTl2RhAu.

Energy relative to the elements (eV per atom): -0.06

Geometry as CIF:
```
data_RbTl2RhAu
_chemical_formula_sum 'Rb1 Tl2 Rh1 Au1'
_cell_length_a 5.2597
_cell_length_b 5.2597
_cell_length_c 5.4964
_cell_angle_alpha 90.00
_cell_angle_beta 90.00
_cell_angle_gamma 90.00
_space_group_name_H-M_alt 'P 4/m m m'
_space_group_IT_number 123
_space_group_name_Hall '-P 4 2'
loop_
_atom_site_label
_atom_site_type_symbol
_atom_site_fract_x
_atom_site_fract_y
_atom_site_fract_z
Rb1 Rb 0.0000 0.0000 0.0000
Tl1 Tl 0.0000 0.5000 0.5000
Rh1 Rh 0.5000 0.5000 0.5000
Au1 Au 0.5000 0.5000 0.0000
```



[3]
## RbAl2Te3 (PBE)

Data for a relaxed structure of RbAl2Te3.

ΔE_f (raw) (kJ/mol of formula units): -298

Geometry as CIF:
```
data_RbAl2Te3
_chemical_formula_sum 'Rb4 Al8 Te12'
_cell_length_a 24.5248
_cell_length_b 4.9326
_cell_length_c 8.1830
_cell_angle_alpha 90.00
_cell_angle_beta 103.10
_cell_angle_gamma 90.00
_space_group_name_H-M_alt 'C 1 2/m 1'
_space_group_IT_number 12
loop_
_space_group_symop_operation_xyz
'x,y,z'
'-x,-y,-z'
'-x,y,-z'
'x,-y,z'
'x+1/2,y+1/2,z'
'-x+1/2,-y+1/2,-z'
'-x+1/2,y+1/2,-z'
'x+1/2,-y+1/2,z'
loop_
_atom_site_label
_atom_site_type_symbol
_atom_site_fract_x
_atom_site_fract_y
_atom_site_fract_z
Rb1 Rb 0.1447 0.0000 0.4411
Al1 Al 0.0594 0.5000 0.9339
Al2 Al 0.2012 0.0000 0.0205
Te1 Te 0.0456 0.5000 0.2425
Te2 Te 0.0968 0.0000 0.8397
Te3 Te 0.2224 0.5000 0.1775
```



[4]
## SrHoPb2 (PBE)

Data for a relaxed structure of SrHoPb2.

Energy relative to the elements (eV per atom): -0.39

Geometry as CIF:
```
data_SrHoPb2
_chemical_formula_sum 'Sr1 Ho1 Pb2'
_cell_length_a 5.2840
_cell_length_b 5.2840
_cell_length_c 4.4618
_cell_angle_alpha 90.00
_cell_angle_beta 90.00
_cell_angle_gamma 90.00
_space_group_name_H-M_alt 'P 4/m m m'
_space_group_IT_number 123
_space_group_name_Hall '-P 4 2'
loop_
_atom_site_label
_atom_site_type_symbol
_atom_site_fract_x
_atom_site_fract_y
_atom_site_fract_z
Sr1 Sr 0.0000 0.0000 0.0000
Ho1 Ho 0.5000 0.5000 0.0000
Pb1 Pb 0.0000 0.5000 0.5000
```



[5]
## Ta2MoSe (PBE)

Data for a relaxed structure of Ta2MoSe.

ΔE_f (raw) (kJ/mol of formula units): 98

Geometry as CIF:
```
data_Ta2MoSe
_chemical_formula_sum 'Ta4 Mo2 Se2'
_cell_length_a 4.2902
_cell_length_b 4.2902
_cell_length_c 7.5446
_cell_angle_alpha 90.00
_cell_angle_beta 90.00
_cell_angle_gamma 90.00
_space_group_name_H-M_alt 'I 4/m m m'
_space_group_IT_number 139
_space_group_name_Hall '-I 4 2'
loop_
_atom_site_label
_atom_site_type_symbol
_atom_site_fract_x
_atom_site_fract_y
_atom_site_fract_z
Ta1 Ta 0.0000 0.5000 0.2500
Mo1 Mo 0.0000 0.0000 0.0000
Se1 Se 0.0000 0.0000 0.5000
```



[6]
## Ba5PRh (PBE)

Data for a relaxed structure of Ba5PRh.

Energy relative to the elements (eV per atom): -0.41

Geometry as CIF:
```
data_Ba5PRh
_chemical_formula_sum 'Ba10 P2 Rh2'
_cell_length_a 8.6212
_cell_length_b 4.4729
_cell_length_c 17.1214
_cell_angle_alpha 90.00
_cell_angle_beta 90.79
_cell_angle_gamma 90.00
_space_group_name_H-M_alt 'P 1 21/m 1'
_space_group_IT_number 11
loop_
_space_group_symop_operation_xyz
'x,y,z'
'-x,-y,-z'
'-x,y+1/2,-z'
'x,-y+1/2,z'
loop_
_atom_site_label
_atom_site_type_symbol
_atom_site_fract_x
_atom_site_fract_y
_atom_site_fract_z
Ba1 Ba 0.0784 0.2500 0.2843
Ba2 Ba 0.1361 0.2500 0.9116
Ba3 Ba 0.2184 0.7500 0.5043
Ba4 Ba 0.3863 0.2500 0.7197
Ba5 Ba 0.3872 0.7500 0.0813
P1 P 0.0779 0.2500 0.6141
Rh1 Rh 0.3624 0.7500 0.8695
```



[7]
## YTeCN2 (PBE)

Data for a relaxed structure of YTeCN2.

Distance to the lowest polymorph of the same formula (meV per atom): 0
ΔE_f (raw) (kJ/mol of formula units): 761

Geometry as CIF:
```
data_YTeCN2
_chemical_formula_sum 'Y1 Te1 C1 N2'
_cell_length_a 4.1464
_cell_length_b 4.1464
_cell_length_c 4.2694
_cell_angle_alpha 90.00
_cell_angle_beta 90.00
_cell_angle_gamma 90.00
_space_group_name_H-M_alt 'P 4/m m m'
_space_group_IT_number 123
_space_group_name_Hall '-P 4 2'
loop_
_atom_site_label
_atom_site_type_symbol
_atom_site_fract_x
_atom_site_fract_y
_atom_site_fract_z
Y1 Y 0.0000 0.0000 0.0000
Te1 Te 0.5000 0.5000 0.0000
C1 C 0.5000 0.5000 0.5000
N1 N 0.0000 0.5000 0.5000
```



[8]
## NaUInS4 (PBE)

Data for a relaxed structure of NaUInS4.

ΔE_f (raw) (kJ/mol of formula units): -697

Geometry as CIF:
```
data_NaUInS4
_chemical_formula_sum 'Na4 U4 In4 S16'
_cell_length_a 7.9050
_cell_length_b 8.2096
_cell_length_c 11.3668
_cell_angle_alpha 90.00
_cell_angle_beta 90.00
_cell_angle_gamma 90.00
_space_group_name_H-M_alt 'I m m a'
_space_group_IT_number 74
_space_group_name_Hall '-I 2b 2'
loop_
_atom_site_label
_atom_site_type_symbol
_atom_site_fract_x
_atom_site_fract_y
_atom_site_fract_z
Na1 Na 0.0000 0.2500 0.1363
U1 U 0.0000 0.0000 0.5000
In1 In 0.2500 0.2500 0.7500
S1 S 0.0000 0.0345 0.7381
S2 S 0.2224 0.2500 0.5051
```